# SiAgAu3, optimized geometry, DFT GGA-PBE
data_SiAgAu3
_space_group_name_H-M_alt 'P m -3 m'
_space_group_IT_number 221
_space_group_name_Hall '-P 4 2 3'
_cell_length_a 5.051
_cell_length_b 5.051
_cell_length_c 5.051
_cell_angle_alpha 90.00
_cell_angle_beta 90.00
_cell_angle_gamma 90.00
loop_
_atom_site_label
_atom_site_type_symbol
_atom_site_fract_x
_atom_site_fract_y
_atom_site_fract_z
Si1 Si 0.000 0.000 0.000
Ag1 Ag 0.500 0.500 0.500
Au1 Au 0.000 0.500 0.500
# ΔE to the lowest computed polymorph: 1.020 eV per atom



# Rb3Pm2PaSe6, optimized geometry, DFT GGA-PBE
data_Rb3Pm2PaSe6
_space_group_name_H-M_alt 'C 1 2/m 1'
_space_group_IT_number 12
_space_group_name_Hall '-C 2y'
_cell_length_a 7.455
_cell_length_b 12.913
_cell_length_c 8.425
_cell_angle_alpha 90.00
_cell_angle_beta 107.14
_cell_angle_gamma 90.00
loop_
_atom_site_label
_atom_site_type_symbol
_atom_site_fract_x
_atom_site_fract_y
_atom_site_fract_z
Rb1 Rb 0.000 0.000 0.000
Rb2 Rb 0.000 0.331 0.000
Pm1 Pm 0.000 0.166 0.500
Pa1 Pa 0.000 0.500 0.500
Se1 Se 0.229 0.337 0.700
Se2 Se 0.242 0.000 0.701
# Calculated total energy: -0.18905 Ha/atom



# Pu3MgPd4, optimized geometry, DFT GGA-PBE
data_Pu3MgPd4
_space_group_name_H-M_alt 'I m m 2'
_space_group_IT_number 44
_space_group_name_Hall 'I 2 -2'
_cell_length_a 5.874
_cell_length_b 10.285
_cell_length_c 5.781
_cell_angle_alpha 90.00
_cell_angle_beta 90.00
_cell_angle_gamma 90.00
loop_
_atom_site_label
_atom_site_type_symbol
_atom_site_fract_x
_atom_site_fract_y
_atom_site_fract_z
Pu1 Pu 0.000 0.000 0.000
Pu2 Pu 0.000 0.227 0.411
Mg1 Mg 0.000 0.500 0.696
Pd1 Pd 0.000 0.276 0.907
Pd2 Pd 0.234 0.500 0.109
# ΔE to the lowest computed polymorph: 0.176 eV per atom
# Formation enthalpy at 0 K: -2.157 eV per formula unit



# Re3SiPb, optimized geometry, DFT GGA-PBE
data_Re3SiPb
_space_group_name_H-M_alt 'P m -3 m'
_space_group_IT_number 221
_space_group_name_Hall '-P 4 2 3'
_cell_length_a 4.511
_cell_length_b 4.511
_cell_length_c 4.511
_cell_angle_alpha 90.00
_cell_angle_beta 90.00
_cell_angle_gamma 90.00
loop_
_atom_site_label
_atom_site_type_symbol
_atom_site_fract_x
_atom_site_fract_y
_atom_site_fract_z
Re1 Re 0.000 0.000 0.500
Si1 Si 0.000 0.000 0.000
Pb1 Pb 0.500 0.500 0.500
# ΔE to the lowest computed polymorph: 0.000 eV per atom



# AlFeNiRh, optimized geometry, DFT GGA-PBE
data_AlFeNiRh
_space_group_name_H-M_alt 'F -4 3 m'
_space_group_IT_number 216
_space_group_name_Hall 'F -4 2 3'
_cell_length_a 5.896
_cell_length_b 5.896
_cell_length_c 5.896
_cell_angle_alpha 90.00
_cell_angle_beta 90.00
_cell_angle_gamma 90.00
loop_
_atom_site_label
_atom_site_type_symbol
_atom_site_fract_x
_atom_site_fract_y
_atom_site_fract_z
Al1 Al 0.000 0.000 0.000
Fe1 Fe 0.000 0.000 0.500
Ni1 Ni 0.250 0.250 0.750
Rh1 Rh 0.250 0.250 0.250
# Formation enthalpy at 0 K: -1.717 eV per formula unit



# TiBiIrPt2, optimized geometry, DFT GGA-PBE
data_TiBiIrPt2
_space_group_name_H-M_alt 'P 4/m m m'
_space_group_IT_number 123
_space_group_name_Hall '-P 4 2'
_cell_length_a 4.937
_cell_length_b 4.937
_cell_length_c 5.070
_cell_angle_alpha 90.00
_cell_angle_beta 90.00
_cell_angle_gamma 90.00
loop_
_atom_site_label
_atom_site_type_symbol
_atom_site_fract_x
_atom_site_fract_y
_atom_site_fract_z
Ti1 Ti 0.000 0.000 0.000
Bi1 Bi 0.000 0.000 0.500
Ir1 Ir 0.500 0.500 0.000
Pt1 Pt 0.000 0.500 0.500
# Formation enthalpy at 0 K: 8.604 eV per formula unit



# CsAsAuBr2, optimized geometry, DFT GGA-PBE
data_CsAsAuBr2
_space_group_name_H-M_alt 'P 4/m m m'
_space_group_IT_number 123
_space_group_name_Hall '-P 4 2'
_cell_length_a 5.797
_cell_length_b 5.797
_cell_length_c 5.045
_cell_angle_alpha 90.00
_cell_angle_beta 90.00
_cell_angle_gamma 90.00
loop_
_atom_site_label
_atom_site_type_symbol
_atom_site_fract_x
_atom_site_fract_y
_atom_site_fract_z
Cs1 Cs 0.000 0.000 0.000
As1 As 0.500 0.500 0.000
Au1 Au 0.500 0.500 0.500
Br1 Br 0.000 0.500 0.500
# Calculated total energy: -0.10284 Ha/atom



# MnSiRh, optimized geometry, DFT GGA-PBE
data_MnSiRh
_space_group_name_H-M_alt 'P -6 m 2'
_space_group_IT_number 187
_space_group_name_Hall 'P -6 2'
_cell_length_a 4.0996
_cell_length_b 4.0996
_cell_length_c 2.8518
_cell_angle_alpha 90.00
_cell_angle_beta 90.00
_cell_angle_gamma 120.00
loop_
_atom_site_label
_atom_site_type_symbol
_atom_site_fract_x
_atom_site_fract_y
_atom_site_fract_z
Mn1 Mn 0.0000 0.0000 0.0000
Si1 Si 0.6667 0.3333 0.5000
Rh1 Rh 0.3333 0.6667 0.5000
# Calculated total energy: -0.28490 Ha/atom